GGA+U AlNiAg2F6, optimized geometry; SG = P-1 (2); calculated total energy = -0.322 Ry/atom
1.0
6.442 -0.923 0.674
2.376 4.695 -0.195
3.495 0.828 4.255
Al Ni Ag F
1 1 2 6
Cartesian
2.968 1.235 0.371
9.125 3.535 2.738
6.273 2.524 1.234
3.159 0.775 3.762
4.582 0.811 1.068
4.567 4.688 1.330
2.799 2.518 1.666
7.240 3.305 3.471
6.632 0.780 3.330
4.850 2.488 3.927